Entry 1:
Below is an optimized crystal structure of LiHfAu3Se4, with properties calculated at the PBE-GGA level.

```
data_LiHfAu3Se4
_cell_length_a 6.152
_cell_length_b 6.152
_cell_length_c 6.152
_cell_angle_alpha 90.00
_cell_angle_beta 90.00
_cell_angle_gamma 90.00
_symmetry_space_group_name_H-M 'P -4 3 m'
_symmetry_Int_Tables_number 215
_symmetry_space_group_name_Hall 'P -4 2 3'
loop_
_atom_site_label
_atom_site_fract_x
_atom_site_fract_y
_atom_site_fract_z
_atom_site_occupancy
Li1 0.000 0.000 0.000 1
Hf1 0.500 0.500 0.500 1
Au1 0.000 0.500 0.500 1
Se1 0.256 0.256 0.256 1
```

Entry 2:
Below is an optimized crystal structure of ZnO, with properties calculated at the PBE-GGA level.

```
data_ZnO
_cell_length_a 3.2524
_cell_length_b 3.2524
_cell_length_c 10.5691
_cell_angle_alpha 90.00
_cell_angle_beta 90.00
_cell_angle_gamma 120.00
_symmetry_space_group_name_H-M 'P 63 m c'
_symmetry_Int_Tables_number 186
_symmetry_space_group_name_Hall 'P 6c -2c'
loop_
_atom_site_label
_atom_site_fract_x
_atom_site_fract_y
_atom_site_fract_z
_atom_site_occupancy
Zn1 0.0000 0.0000 0.0000 1
Zn2 0.3333 0.6667 0.2503 1
O1 0.0000 0.0000 0.1881 1
O2 0.3333 0.6667 0.4381 1
```

Entry 3:
Below is an optimized crystal structure of ZrAl2Bi, with properties calculated at the PBE-GGA level.

```
data_ZrAl2Bi
_cell_length_a 7.099
_cell_length_b 7.099
_cell_length_c 7.099
_cell_angle_alpha 90.00
_cell_angle_beta 90.00
_cell_angle_gamma 90.00
_symmetry_space_group_name_H-M 'F -4 3 m'
_symmetry_Int_Tables_number 216
_symmetry_space_group_name_Hall 'F -4 2 3'
loop_
_atom_site_label
_atom_site_fract_x
_atom_site_fract_y
_atom_site_fract_z
_atom_site_occupancy
Zr1 0.000 0.000 0.000 1
Al1 0.000 0.000 0.500 1
Al2 0.250 0.250 0.250 1
Bi1 0.250 0.250 0.750 1
```

Entry 4:
Below is an optimized crystal structure of Nb4NiBiC2, with properties calculated at the PBE-GGA level.

```
data_Nb4NiBiC2
_cell_length_a 3.2364
_cell_length_b 3.2364
_cell_length_c 13.4559
_cell_angle_alpha 90.00
_cell_angle_beta 90.00
_cell_angle_gamma 120.00
_symmetry_space_group_name_H-M 'P -6 m 2'
_symmetry_Int_Tables_number 187
_symmetry_space_group_name_Hall 'P -6 2'
loop_
_atom_site_label
_atom_site_fract_x
_atom_site_fract_y
_atom_site_fract_z
_atom_site_occupancy
Nb1 0.0000 0.0000 0.1424 1
Nb2 0.6667 0.3333 0.3188 1
Ni1 0.6667 0.3333 0.0000 1
Bi1 0.0000 0.0000 0.5000 1
C1 0.3333 0.6667 0.2312 1
```

Entry 5:
Below is an optimized crystal structure of TmZrNO, with properties calculated at the PBE-GGA level.

Summary:
- Energy above the lowest structure with this stoichiometry: 0.000 eV/atom

```
data_TmZrNO
_cell_length_a 7.837
_cell_length_b 6.480
_cell_length_c 4.644
_cell_angle_alpha 90.00
_cell_angle_beta 90.00
_cell_angle_gamma 90.00
_symmetry_space_group_name_H-M 'P b c m'
_symmetry_Int_Tables_number 57
loop_
_symmetry_equiv_pos_as_xyz
'x,y,z'
'-x,-y,-z'
'-x,-y,z+1/2'
'x,y,-z+1/2'
'x,-y+1/2,-z'
'-x,y+1/2,z'
'-x,y+1/2,-z+1/2'
'x,-y+1/2,z+1/2'
loop_
_atom_site_label
_atom_site_fract_x
_atom_site_fract_y
_atom_site_fract_z
_atom_site_occupancy
Tm1 0.124 0.058 0.250 1
Zr1 0.374 0.593 0.250 1
N1 0.388 0.570 0.750 1
O1 0.140 0.099 0.750 1
```

Entry 6:
Below is an optimized crystal structure of Fe4CuMo3, with properties calculated at the PBE-GGA level.

Summary:
- Energy of formation from the pure elements: 268.8 meV per atom

```
data_Fe4CuMo3
_cell_length_a 16.874
_cell_length_b 5.007
_cell_length_c 2.545
_cell_angle_alpha 90.00
_cell_angle_beta 94.86
_cell_angle_gamma 90.00
_symmetry_space_group_name_H-M 'C 1 2/m 1'
_symmetry_Int_Tables_number 12
loop_
_symmetry_equiv_pos_as_xyz
'x,y,z'
'-x,-y,-z'
'-x,y,-z'
'x,-y,z'
'x+1/2,y+1/2,z'
'-x+1/2,-y+1/2,-z'
'-x+1/2,y+1/2,-z'
'x+1/2,-y+1/2,z'
loop_
_atom_site_label
_atom_site_fract_x
_atom_site_fract_y
_atom_site_fract_z
_atom_site_occupancy
Fe1 0.124 0.249 0.412 1
Cu1 0.000 0.500 0.500 1
Mo1 0.000 0.000 0.000 1
Mo2 0.249 0.000 0.145 1
```

Electronic total energy, respectively: -41.1; -36.3; -76.1; -70.0; -139.4; -134.7 eV for the cell shown.